! PBE KLaCdTe3, relaxed; values from VASP
! Raw total energy, eV/atom: -3.75
! M_tot, μB/f.u.: 0.00
&SYSTEM
  ibrav = 0, nat = 12, ntyp = 4
/
ATOMIC_SPECIES
K 39.10 K.upf
La 138.91 La.upf
Cd 112.41 Cd.upf
Te 127.60 Te.upf
CELL_PARAMETERS angstrom
9.897 -2.335 0.000
9.897 2.335 0.000
-2.536 0.000 9.461
ATOMIC_POSITIONS crystal
K 0.136 0.136 0.073
K 0.864 0.864 0.927
La 0.175 0.175 0.597
La 0.825 0.825 0.403
Cd 0.482 0.482 0.281
Cd 0.518 0.518 0.719
Te 0.000 0.000 0.500
Te 0.328 0.328 0.181
Te 0.340 0.340 0.635
Te 0.500 0.500 0.000
Te 0.660 0.660 0.365
Te 0.672 0.672 0.819